First-principles (PBE) data for a relaxed structure of Tm3In3Ir2Au, as listed in OQMD.

## Properties
DFT total energy	-48.94	eV/cell
M_tot	0.019	μB/f.u.

a = 7.6144 Å, b = 7.6144 Å, c = 3.8378 Å
α = 90.00°, β = 90.00°, γ = 120.00°
With the nearest neighbours (Å) after each atom.
Positions (direct):
Tm 0.5895 0.5895 0.0000  4 Ir 3.00, 6 In 3.10-3.35, 1 Au 3.13
In 0.7307 0.0000 0.5000  2 Au 2.81, 2 Ir 2.81, 2 Tm 3.10
Ir 0.3333 0.6667 0.5000  3 In 2.81, 6 Tm 3.00
Tm 0.0000 0.4105 0.0000  4 Ir 3.00, 6 In 3.10-3.35, 1 Au 3.13
Ir 0.6667 0.3333 0.5000  3 In 2.81, 6 Tm 3.00
Tm 0.4105 0.0000 0.0000  4 Ir 3.00, 6 In 3.10-3.35, 1 Au 3.13
In 0.2693 0.2693 0.5000  2 Au 2.81, 2 Ir 2.81, 2 Tm 3.10
Au 0.0000 0.0000 0.0000  6 In 2.81, 3 Tm 3.13
In 0.0000 0.7307 0.5000  2 Au 2.81, 2 Ir 2.81, 2 Tm 3.10



First-principles (PBE) data for a relaxed structure of Y3In3Ir2Au, as listed in OQMD.

## Properties
DFT total energy	-54.91	eV/cell
M_tot	0.006	μB/f.u.

a = 7.6498 Å, b = 7.6498 Å, c = 3.9266 Å
α = 90.00°, β = 90.00°, γ = 120.00°
With the nearest neighbours (Å) after each atom.
Positions (direct):
In 0.2684 0.2684 0.5000  2 Ir 2.83, 2 Au 2.84, 2 Y 3.16
Y 0.0000 0.4082 0.0000  4 Ir 3.04, 1 Au 3.12, 6 In 3.16-3.38
In 0.0000 0.7316 0.5000  2 Ir 2.83, 2 Au 2.84, 2 Y 3.16
Y 0.4082 0.0000 0.0000  4 Ir 3.04, 1 Au 3.12, 6 In 3.16-3.38
Y 0.5918 0.5918 0.0000  4 Ir 3.04, 1 Au 3.12, 6 In 3.16-3.38
Au 0.0000 0.0000 0.0000  6 In 2.84, 3 Y 3.12
Ir 0.3333 0.6667 0.5000  3 In 2.83, 6 Y 3.04
Ir 0.6667 0.3333 0.5000  3 In 2.83, 6 Y 3.04
In 0.7316 0.0000 0.5000  2 Ir 2.83, 2 Au 2.84, 2 Y 3.16



First-principles (PBE) data for a relaxed structure of Y2In4IrAu, as listed in OQMD.

## Properties
DFT total energy	-40.36	eV/cell
M_tot	0.013	μB/f.u.

a = 7.4587 Å, b = 5.7824 Å, c = 5.7824 Å
α = 45.96°, β = 90.00°, γ = 90.00°
With the nearest neighbours (Å) after each atom.
Positions (direct):
Ir 0.5000 0.2919 0.2919  6 In 2.75-2.80, 1 Y 3.01
Y 0.5000 0.5748 0.5748  3 Ir 3.01-3.23, 4 In 3.21
Y 0.0000 0.4224 0.4224  3 Au 3.05-3.20, 4 In 3.25
In 0.6968 0.8653 0.8653  2 Ir 2.80, 1 Au 2.81, 2 In 2.94-2.97
In 0.2065 0.1358 0.1358  1 Ir 2.75, 2 Au 2.84, 1 In 2.97
In 0.3032 0.8653 0.8653  2 Ir 2.80, 1 Au 2.81, 2 In 2.94-2.97
Au 0.0000 0.7088 0.7088  6 In 2.81-2.84, 1 Y 3.05
In 0.7935 0.1358 0.1358  1 Ir 2.75, 2 Au 2.84, 1 In 2.97



First-principles (PBE) data for a relaxed structure of K4In3Au4, as listed in OQMD.

## Properties
DFT total energy	-28.05	eV/cell

a = 9.0642 Å, b = 9.0642 Å, c = 4.6531 Å
α = 90.00°, β = 90.00°, γ = 120.00°
With the nearest neighbours (Å) after each atom.
Positions (direct):
Au 0.2223 0.7777 0.5000  4 In 2.98, 2 Au 3.02, 2 K 3.27
Au 0.2223 0.4447 0.5000  4 In 2.98, 2 Au 3.02, 2 K 3.27
K 0.8088 0.6177 0.5000  4 Au 3.22-3.27
K 0.3823 0.1912 0.5000  4 Au 3.22-3.27
Au 0.6667 0.3333 0.0000  6 K 3.22, 3 In 3.28
K 0.8088 0.1912 0.5000  4 Au 3.22-3.27
In 0.4580 0.9161 0.0000  5 Au 2.98-3.28
K 0.0000 0.0000 0.0000  6 K 3.80, 6 Au 4.19
In 0.4580 0.5420 0.0000  5 Au 2.98-3.28
In 0.0839 0.5420 0.0000  5 Au 2.98-3.28
Au 0.5553 0.7777 0.5000  4 In 2.98, 2 Au 3.02, 2 K 3.27